Density functional theory data (PBE) for ZrCd3In after structural relaxation. Values from VASP.

Computed properties:
The calculated formation energy is 0.779 eV/atom. The uncorrected energy is -2.03 eV/atom. The space-group type is Pm-3m, No. 221.

Geometry as Quantum ESPRESSO input:
```
&SYSTEM
  ibrav = 0, nat = 5, ntyp = 3
/
ATOMIC_SPECIES
Cd 112.41 Cd.upf
Zr 91.22 Zr.upf
In 114.82 In.upf
ATOMIC_POSITIONS angstrom
Cd 0.0000 2.8359 0.0000
Cd 0.0000 0.0000 2.8359
Cd 2.8359 0.0000 0.0000
Zr 0.0000 0.0000 0.0000
In 2.8359 2.8359 2.8359
CELL_PARAMETERS angstrom
5.6719 0.0000 0.0000
0.0000 5.6719 0.0000
0.0000 0.0000 5.6719
```

Density functional theory data (PBE) for CeDyAl after structural relaxation. Values from VASP.

Computed properties:
The calculated formation energy is -0.183 eV/atom. The uncorrected energy is -4.94 eV/atom. The space-group type is P4/nmm, No. 129.

Geometry as Quantum ESPRESSO input:
```
&SYSTEM
  ibrav = 0, nat = 6, ntyp = 3
/
ATOMIC_SPECIES
Dy 162.50 Dy.upf
Al 26.98 Al.upf
Ce 140.12 Ce.upf
ATOMIC_POSITIONS angstrom
Dy -7.0458 -1.8182 3.9134
Dy -3.1789 2.5527 0.3157
Al -4.3397 -0.3060 -0.4398
Al -5.8850 1.0404 4.6689
Ce -6.3834 1.0312 1.5551
Ce -3.8411 -0.2969 2.6741
CELL_PARAMETERS angstrom
-1.7771 3.9656 0.2728
-3.3075 -1.3095 -2.5109
-4.2608 -2.3810 6.8542
```

Density functional theory data (PBE) for Ce6Co2IrI3 after structural relaxation. Values from VASP.

Computed properties:
The uncorrected energy is -5.96 eV/atom. The space-group type is C2/m, No. 12.

Geometry as Quantum ESPRESSO input:
```
&SYSTEM
  ibrav = 0, nat = 12, ntyp = 4
/
ATOMIC_SPECIES
Ce 140.12 Ce.upf
Co 58.93 Co.upf
Ir 192.22 Ir.upf
I 126.90 I.upf
ATOMIC_POSITIONS angstrom
Ce 3.5595 1.9720 6.5044
Ce 2.3158 4.0097 1.4318
Ce -1.2098 2.0966 1.4362
Ce -0.0708 4.0686 6.5044
Ce 0.0340 0.0588 6.5088
Ce 2.4206 -0.0001 1.4362
Co 0.0001 4.0707 -0.0001
Co 3.5258 2.0344 -0.0001
Ir 0.0000 0.0000 0.0000
I -2.3670 4.0798 3.9703
I 4.7167 -0.0113 3.9703
I 1.1749 2.0343 3.9703
CELL_PARAMETERS angstrom
7.0506 -0.0013 -0.0001
-3.5247 6.1064 -0.0001
-1.1762 -2.0366 7.9408
```

Density functional theory data (PBE) for Rb2Li2Bi after structural relaxation. Values from VASP.

Computed properties:
The calculated formation energy is -0.181 eV/atom. The uncorrected energy is -2.11 eV/atom. The space-group type is P4/mbm, No. 127.

Geometry as Quantum ESPRESSO input:
```
&SYSTEM
  ibrav = 0, nat = 10, ntyp = 3
/
ATOMIC_SPECIES
Bi 208.98 Bi.upf
Rb 85.47 Rb.upf
Li 6.94 Li.upf
ATOMIC_POSITIONS angstrom
Bi 0.0000 0.0000 0.0000
Bi -0.2722 -1.7907 -5.2269
Rb -1.2603 -5.4019 -3.3142
Rb -2.6471 -4.7658 -7.0113
Rb -4.4238 -1.4057 -5.7667
Rb -3.0370 -2.0418 -2.0696
Li 1.2340 -4.2856 -5.4508
Li -0.9388 -1.9381 -8.0690
Li -1.7784 0.7042 -5.0030
Li 0.3945 -1.6433 -2.3848
CELL_PARAMETERS angstrom
-3.3776 2.5873 -6.5650
2.8333 -6.1687 -3.8888
-5.1398 -3.2262 1.3729
```

Density functional theory data (PBE) for In2Sn2Hg after structural relaxation. Values from VASP.

Computed properties:
The calculated formation energy is 0.049 eV/atom. The uncorrected energy is -2.71 eV/atom. The space-group type is C2/m, No. 12.

Geometry as Quantum ESPRESSO input:
```
&SYSTEM
  ibrav = 0, nat = 5, ntyp = 3
/
ATOMIC_SPECIES
In 114.82 In.upf
Sn 118.71 Sn.upf
Hg 200.59 Hg.upf
ATOMIC_POSITIONS angstrom
In 0.0000 0.4271 3.3196
In 2.6251 1.8016 2.0136
Sn 0.0000 3.1746 0.6913
Sn 2.6251 -0.9459 4.6419
Hg 0.0000 0.0000 0.0000
CELL_PARAMETERS angstrom
5.2503 0.0000 0.0000
-2.6251 4.5471 -0.6420
0.0000 -2.3184 5.9753
```

Density functional theory data (PBE) for CaSbW2Au after structural relaxation. Values from VASP.

Computed properties:
The uncorrected energy is -6.93 eV/atom. The space-group type is Pm, No. 6.

Geometry as Quantum ESPRESSO input:
```
&SYSTEM
  ibrav = 0, nat = 5, ntyp = 4
/
ATOMIC_SPECIES
Sb 121.76 Sb.upf
Ca 40.08 Ca.upf
Au 196.97 Au.upf
W 183.84 W.upf
ATOMIC_POSITIONS angstrom
Sb 1.8069 -2.8092 0.7859
Ca 0.4244 -0.7961 2.9181
Au -0.7367 -1.8644 0.3110
W 4.1631 -1.7752 1.7947
W 3.1726 -3.7886 3.1398
CELL_PARAMETERS angstrom
-0.9008 -0.6056 4.0121
-1.1580 -3.5151 -0.7906
6.2571 -2.2968 1.0466
```

Density functional theory data (PBE) for GaSn2Bi2 after structural relaxation. Values from VASP.

Computed properties:
The calculated formation energy is 0.268 eV/atom. The uncorrected energy is -3.49 eV/atom. The space-group type is I4/mmm, No. 139.

Geometry as Quantum ESPRESSO input:
```
&SYSTEM
  ibrav = 0, nat = 5, ntyp = 3
/
ATOMIC_SPECIES
Ga 69.72 Ga.upf
Sn 118.71 Sn.upf
Bi 208.98 Bi.upf
ATOMIC_POSITIONS angstrom
Ga 0.0000 0.0000 0.0000
Sn 0.0000 0.0000 6.0947
Sn 2.3316 2.3316 1.4836
Bi 2.3316 0.0000 3.7892
Bi 0.0000 2.3316 3.7892
CELL_PARAMETERS angstrom
4.6632 0.0000 0.0000
0.0000 4.6632 0.0000
-2.3316 -2.3316 7.5783
```

Density functional theory data (PBE) for CeSi2Au3 after structural relaxation. Values from VASP.

Computed properties:
The uncorrected energy is -4.88 eV/atom. The space-group type is C2/m, No. 12.

Geometry as Quantum ESPRESSO input:
```
&SYSTEM
  ibrav = 0, nat = 18, ntyp = 3
/
ATOMIC_SPECIES
Ce 140.12 Ce.upf
Si 28.09 Si.upf
Au 196.97 Au.upf
ATOMIC_POSITIONS angstrom
Ce 0.0000 2.5892 6.3261
Ce 2.1623 5.5141 1.3124
Ce 0.0000 0.0000 0.0000
Si 0.0000 3.1664 0.0717
Si 2.1623 4.9369 7.5667
Si 0.0000 7.6019 -0.0914
Si 2.1623 0.5014 7.7298
Si 0.0000 5.7440 3.7527
Si 2.1623 2.3593 3.8857
Au 0.0000 0.6786 3.2519
Au 2.1623 7.4247 4.3865
Au 0.0000 3.5334 2.6619
Au 2.1623 4.5699 4.9765
Au 2.1623 2.0276 1.3433
Au 0.0000 6.0756 6.2951
Au 2.1623 0.0761 5.0659
Au 0.0000 5.3738 -1.1183
Au 2.1623 2.7295 8.7567
CELL_PARAMETERS angstrom
4.3247 0.0000 0.0000
-2.1623 7.9510 -2.4934
0.0000 0.1523 10.1318
```

Look up the uncorrected energy of the third one.
-5.96 eV/atom